(1)
This record from the Alexandria database describes an optimized crystal structure of Y2TaMo. The functional is PBE.

```
Y2TaMo
1.0
6.020 0.000 0.001
2.753 5.354 -0.001
-3.793 -3.650 2.922
Mo Ta Y
1 1 2
direct
0.470 0.470 0.000 Mo
0.294 0.794 0.500 Ta
0.008 0.008 0.000 Y
0.728 0.228 0.500 Y
```

Output
The value obtained for the magnetization is 0.0 μB/f.u. As for the energy of formation: 0.216 eV per atom. As for the calculated volume: 94 Å³ per cell. The excess energy over the best structure of this formula in the dataset is 80 meV per atom.


(2)
This record from the Alexandria database describes an optimized crystal structure of ReHgW2. The functional is PBE.

```
ReHgW2
1.0
-2.096 0.207 1.967
1.778 -1.057 2.006
2.466 7.614 1.825
Hg Re W
1 1 2
direct
0.500 0.500 0.250 Hg
0.500 0.500 0.750 Re
0.000 0.000 0.973 W
0.000 0.000 0.527 W
```

Output
The value obtained for the magnetization is 0.0 μB/f.u. As for the energy of formation: 0.515 eV per atom. As for the calculated volume: 68 Å³ per cell.


(3)
This record from the Alexandria database describes an optimized crystal structure of MgCdHgBi. The functional is PBE.

```
MgCdHgBi
1.0
-3.907 -0.662 3.467
1.066 -0.257 5.150
-1.398 3.958 3.178
Mg Cd Bi Hg
1 1 1 1
direct
0.250 0.250 0.250 Mg
0.750 0.750 0.750 Cd
0.000 0.000 0.000 Bi
0.500 0.500 0.500 Hg
```

Output
The value obtained for the magnetization is 0.0 μB/f.u. As for the energy of formation: -0.037 eV per atom. As for the calculated volume: 103 Å³ per cell.


(4)
This record from the Alexandria database describes an optimized crystal structure of NaAlF2. The functional is PBE.

```
NaAlF2
1.0
0.000 3.086 3.086
3.086 0.000 3.086
3.086 3.086 0.000
Na Al F
1 1 2
direct
0.000 0.000 0.000 Na
0.500 0.500 0.500 Al
0.250 0.250 0.250 F
0.750 0.750 0.750 F
```

Output
The value obtained for the magnetization is 0.0 μB/f.u. As for the calculated volume: 59 Å³ per cell. Its uncorrected formation energy is -1.699 eV per atom. The excess energy over the best structure of this formula in the dataset is 639 meV per atom.